# 1
Pm12Nd5Tm2: optimized geometry, PBE.

Results
Calculated formation energy ... 0.1695 eV per atom
Density ... 7.04 g cm⁻³
E above lowest polymorph ... 72 meV per atom

CIF file:
```
data_Pm12Nd5Tm2
_cell_length_a 18.783
_cell_length_b 7.227
_cell_length_c 10.480
_cell_angle_alpha 90.00
_cell_angle_beta 111.83
_cell_angle_gamma 90.00
_symmetry_space_group_name_H-M 'C 1 2/m 1'
_symmetry_Int_Tables_number 12
_symmetry_space_group_name_Hall '-C 2y'
loop_
_atom_site_label
_atom_site_fract_x
_atom_site_fract_y
_atom_site_fract_z
Pm1 0.003 0.000 0.319
Pm2 0.021 0.500 0.239
Pm3 0.160 0.252 0.866
Pm4 0.166 0.250 0.519
Nd1 0.000 0.500 0.500
Nd2 0.174 0.000 0.207
Nd3 0.184 0.500 0.184
Tm1 0.000 0.219 0.000
```

---

# 2
Pm4NdTm15: optimized geometry, PBE.

Results
Calculated formation energy ... 0.0261 eV per atom
Density ... 8.71 g cm⁻³

CIF file:
```
data_Pm4NdTm15
_cell_length_a 4.997
_cell_length_b 4.997
_cell_length_c 24.878
_cell_angle_alpha 90.00
_cell_angle_beta 90.00
_cell_angle_gamma 90.00
_symmetry_space_group_name_H-M 'P 4/m m m'
_symmetry_Int_Tables_number 123
_symmetry_space_group_name_Hall '-P 4 2'
loop_
_atom_site_label
_atom_site_fract_x
_atom_site_fract_y
_atom_site_fract_z
Pm1 0.000 0.000 0.100
Pm2 0.000 0.000 0.300
Nd1 0.000 0.000 0.500
Tm1 0.000 0.500 0.000
Tm2 0.000 0.500 0.200
Tm3 0.000 0.500 0.400
Tm4 0.500 0.500 0.100
Tm5 0.500 0.500 0.300
Tm6 0.500 0.500 0.500
```